DFT (GGA-PBE) results for an optimized crystal structure of V4Re3Tc.

Unit cell a=5.1352 b=9.3788 c=4.9761 alpha=90.00 beta=90.00 gamma=90.00
Fractional coordinates of all 16 atoms:
V: 0.2284 0.8752 0.0000
V: 0.4033 0.1221 0.0000
V: 0.0632 0.3697 0.2516
V: 0.5632 0.6303 0.2484
V: 0.9033 0.8779 0.5000
V: 0.7284 0.1248 0.5000
V: 0.5632 0.6303 0.7516
V: 0.0632 0.3697 0.7484
Re: 0.7207 0.8737 0.0000
Re: 0.0622 0.6419 0.2501
Re: 0.5622 0.3581 0.2499
Re: 0.2207 0.1263 0.5000
Re: 0.5622 0.3581 0.7501
Re: 0.0622 0.6419 0.7499
Tc: 0.9122 0.1241 0.0000
Tc: 0.4122 0.8759 0.5000

Summary:
Energy of formation from the pure elements: 0.33 eV/atom
ΔE to the lowest computed polymorph: 682 meV per atom
Mass density: 11923 kg/m³

DFT (GGA-PBE) results for an optimized crystal structure of La3YEr2Sb6.

Unit cell a=7.8009 b=7.8009 c=7.7654 alpha=99.63 beta=99.63 gamma=119.99
Fractional coordinates of all 12 atoms:
La: 0.1661 0.8339 0.5000
La: 0.8339 0.1661 0.5000
La: 0.5000 0.5000 0.5000
Y: 0.0000 0.0000 0.0000
Er: 0.3332 0.6668 0.0000
Er: 0.6668 0.3332 0.0000
Sb: 0.9215 0.5866 0.7646
Sb: 0.7434 0.7434 0.2350
Sb: 0.0785 0.4134 0.2354
Sb: 0.5866 0.9215 0.7646
Sb: 0.2566 0.2566 0.7650
Sb: 0.4134 0.0785 0.2354

Summary:
Formation energy (no corrections): -1192 meV/atom
Mass density: 6762 kg/m³

DFT (GGA-PBE) results for an optimized crystal structure of ZnRePt2.

Unit cell a=4.7387 b=4.7387 c=2.7334 alpha=90.00 beta=90.00 gamma=90.00
Fractional coordinates of all 4 atoms:
Pt: 0.0000 0.0000 0.0000
Pt: 0.5000 0.5000 0.0000
Re: 0.5000 0.0000 0.5000
Zn: 0.0000 0.5000 0.5000

Summary:
Energy of formation from the pure elements: -0.10 eV/atom
Mass density: 17363 kg/m³

DFT (GGA-PBE) results for an optimized crystal structure of Ac3Tl2Pb3.

Unit cell a=4.6621 b=5.9462 c=11.1584 alpha=114.02 beta=102.06 gamma=90.00
Fractional coordinates of all 8 atoms:
Ac: 0.8623 0.3303 0.7246
Ac: 0.1377 0.6697 0.2754
Ac: 0.0000 0.0000 0.0000
Tl: 0.7584 0.7208 0.5168
Tl: 0.2416 0.2792 0.4832
Pb: 0.3689 0.8564 0.7377
Pb: 0.5000 0.5000 0.0000
Pb: 0.6311 0.1436 0.2623

Summary:
Energy of formation from the pure elements: -0.35 eV/atom
ΔE to the lowest computed polymorph: 19 meV per atom
Mass density: 10331 kg/m³

DFT (GGA-PBE) results for an optimized crystal structure of Bi2MoP2.

Unit cell a=6.3651 b=6.3651 c=5.1428 alpha=90.00 beta=90.00 gamma=90.00
Fractional coordinates of all 10 atoms:
P: 0.3678 0.8678 0.0000
P: 0.8678 0.6322 0.0000
P: 0.6322 0.1322 0.0000
P: 0.1322 0.3678 0.0000
Mo: 0.0000 0.0000 0.0000
Mo: 0.5000 0.5000 0.0000
Bi: 0.1816 0.6816 0.5000
Bi: 0.6816 0.8184 0.5000
Bi: 0.8184 0.3184 0.5000
Bi: 0.3184 0.1816 0.5000

Summary:
Energy of formation from the pure elements: 0.19 eV/atom
ΔE to the lowest computed polymorph: 0 meV per atom
Mass density: 9178 kg/m³

DFT (GGA-PBE) results for an optimized crystal structure of Sr2Ac7.

Unit cell a=7.0041 b=7.0041 c=9.8785 alpha=90.00 beta=90.00 gamma=120.00
Fractional coordinates of all 9 atoms:
Sr: 0.3333 0.6667 0.0000
Sr: 0.6667 0.3333 0.0000
Ac: 0.0000 0.0000 0.0000
Ac: 0.6736 0.0000 0.3404
Ac: 0.0000 0.6736 0.3404
Ac: 0.3264 0.3264 0.3404
Ac: 0.0000 0.3264 0.6596
Ac: 0.3264 0.0000 0.6596
Ac: 0.6736 0.6736 0.6596

Summary:
Energy of formation from the pure elements: 0.04 eV/atom
Mass density: 6980 kg/m³

The final energy results, record by record, are as follows: -0.375 -0.213 -0.241 -0.142 -0.209 -0.130 Ha/atom.